# 1
# BaY3O | Alexandria | PBE-GGA | optimized geometry
data_BaY3O
_symmetry_space_group_name_H-M 'P m -3 m'
_symmetry_Int_Tables_number 221
_symmetry_space_group_name_Hall '-P 4 2 3'
_cell_length_a 5.1162
_cell_length_b 5.1162
_cell_length_c 5.1162
_cell_angle_alpha 90.00
_cell_angle_beta 90.00
_cell_angle_gamma 90.00
loop_
_atom_site_label
_atom_site_type_symbol
_atom_site_fract_x
_atom_site_fract_y
_atom_site_fract_z
Ba1 Ba 0.0000 0.0000 0.0000
Y1 Y 0.0000 0.5000 0.5000
O1 O 0.5000 0.5000 0.5000
# Formation energy from raw total energies, meV per atom: -782
# ρ, Mg/m³: 5.208

***

# 2
# ZrTiF6 | Alexandria | PBE-GGA | optimized geometry
data_ZrTiF6
_symmetry_space_group_name_H-M 'R -3 m'
_symmetry_Int_Tables_number 166
_symmetry_space_group_name_Hall '-R 3 2"'
_cell_length_a 5.8301
_cell_length_b 5.8301
_cell_length_c 14.3034
_cell_angle_alpha 90.00
_cell_angle_beta 90.00
_cell_angle_gamma 120.00
loop_
_atom_site_label
_atom_site_type_symbol
_atom_site_fract_x
_atom_site_fract_y
_atom_site_fract_z
Zr1 Zr 0.0000 0.0000 0.0000
Ti1 Ti 0.0000 0.0000 0.5000
F1 F 0.0019 0.5009 0.2495
# Formation energy from raw total energies, meV per atom: -3388
# ρ, Mg/m³: 2.995

***

# 3
# AcDyTmSc | Alexandria | PBE-GGA | optimized geometry
data_AcDyTmSc
_symmetry_space_group_name_H-M 'F -4 3 m'
_symmetry_Int_Tables_number 216
_symmetry_space_group_name_Hall 'F -4 2 3'
_cell_length_a 8.0351
_cell_length_b 8.0351
_cell_length_c 8.0351
_cell_angle_alpha 90.00
_cell_angle_beta 90.00
_cell_angle_gamma 90.00
loop_
_atom_site_label
_atom_site_type_symbol
_atom_site_fract_x
_atom_site_fract_y
_atom_site_fract_z
Ac1 Ac 0.0000 0.0000 0.0000
Dy1 Dy 0.0000 0.0000 0.5000
Tm1 Tm 0.2500 0.2500 0.2500
Sc1 Sc 0.2500 0.2500 0.7500
# ρ, Mg/m³: 7.726
# E_form, meV per atom: 117

***

# 4
# Mn3IrPb | Alexandria | PBE-GGA | optimized geometry
data_Mn3IrPb
_symmetry_space_group_name_H-M 'P m -3 m'
_symmetry_Int_Tables_number 221
_symmetry_space_group_name_Hall '-P 4 2 3'
_cell_length_a 4.8749
_cell_length_b 4.8749
_cell_length_c 4.8749
_cell_angle_alpha 90.00
_cell_angle_beta 90.00
_cell_angle_gamma 90.00
loop_
_atom_site_label
_atom_site_type_symbol
_atom_site_fract_x
_atom_site_fract_y
_atom_site_fract_z
Mn1 Mn 0.0000 0.0000 0.5000
Ir1 Ir 0.0000 0.0000 0.0000
Pb1 Pb 0.5000 0.5000 0.5000
# ρ, Mg/m³: 8.088
# E_form, meV per atom: 744

***

# 5
# CuSiGe3 | Alexandria | PBE-GGA | optimized geometry
data_CuSiGe3
_symmetry_space_group_name_H-M 'P m -3 m'
_symmetry_Int_Tables_number 221
_symmetry_space_group_name_Hall '-P 4 2 3'
_cell_length_a 4.7485
_cell_length_b 4.7485
_cell_length_c 4.7485
_cell_angle_alpha 90.00
_cell_angle_beta 90.00
_cell_angle_gamma 90.00
loop_
_atom_site_label
_atom_site_type_symbol
_atom_site_fract_x
_atom_site_fract_y
_atom_site_fract_z
Cu1 Cu 0.0000 0.0000 0.0000
Si1 Si 0.5000 0.5000 0.5000
Ge1 Ge 0.0000 0.5000 0.5000
# Formation energy from raw total energies, meV per atom: 838
# ρ, Mg/m³: 4.801

***

# 6
# IrSe2Br | Alexandria | PBE-GGA | optimized geometry
data_IrSe2Br
_symmetry_space_group_name_H-M 'C 1 m 1'
_symmetry_Int_Tables_number 8
_cell_length_a 9.1233
_cell_length_b 3.5312
_cell_length_c 7.3372
_cell_angle_alpha 90.00
_cell_angle_beta 113.12
_cell_angle_gamma 90.00
loop_
_symmetry_equiv_pos_as_xyz
'x,y,z'
'x,-y,z'
'x+1/2,y+1/2,z'
'x+1/2,-y+1/2,z'
loop_
_atom_site_label
_atom_site_type_symbol
_atom_site_fract_x
_atom_site_fract_y
_atom_site_fract_z
Ir1 Ir 0.0000 0.0000 0.0000
Se1 Se 0.0180 0.5000 0.2424
Se2 Se 0.2427 0.5000 0.0866
Br1 Br 0.3859 0.0000 0.7212
# Formation energy from raw total energies, meV per atom: 46
# ρ, Mg/m³: 6.569

***

Which magnetic moment belongs to each record? In order, 0.00; 6.00; 0.00; 12.99; 0.00; 0.00 Bohr magnetons per cell.
Which DFT total energy belongs to each record? In order, -0.222; -0.252; -0.175; -0.267; -0.141; -0.159 Ha/atom.